DFT (PBE-GGA) results for Cs2MgCdBr6 after structural relaxation.

Unit cell a=7.851 b=7.851 c=13.874 alpha=73.56 beta=73.56 gamma=60.00
Sites, in units of the cell vectors:
Cs (0.876, 0.876, 0.372)
Cs (0.124, 0.124, 0.628)
Cs (0.708, 0.708, 0.875)
Cs (0.292, 0.292, 0.125)
Mg (0.000, 0.000, 0.000)
Mg (0.500, 0.500, 0.500)
Cd (0.586, 0.586, 0.241)
Cd (0.414, 0.414, 0.759)
Br (0.861, 0.382, 0.376)
Br (0.382, 0.861, 0.376)
Br (0.382, 0.382, 0.376)
Br (0.139, 0.618, 0.624)
Br (0.618, 0.139, 0.624)
Br (0.618, 0.618, 0.624)
Br (0.715, 0.202, 0.880)
Br (0.202, 0.715, 0.880)
Br (0.202, 0.202, 0.880)
Br (0.285, 0.798, 0.120)
Br (0.798, 0.285, 0.120)
Br (0.798, 0.798, 0.120)

Output
Its total energy is -2.860 eV/atom. Its uncorrected formation energy is -138.4 kJ per mole of atoms.

DFT (PBE-GGA) results for CsMn2CdBr8 after structural relaxation.

Unit cell a=6.975 b=6.975 c=9.988 alpha=90.00 beta=90.00 gamma=120.00
Site moments in Bohr magnetons follow the coordinates.
Sites, in units of the cell vectors:
Cs (0.000, 0.000, 0.000)  0.00
Mn (0.667, 0.333, 0.268)  4.00
Mn (0.333, 0.667, 0.732)  4.00
Cd (0.000, 0.000, 0.500)  0.03
Br (0.333, 0.667, 0.972)  0.02
Br (0.322, 0.326, 0.331)  0.03
Br (0.674, 0.996, 0.331)  0.03
Br (0.667, 0.333, 0.028)  0.02
Br (0.326, 0.004, 0.669)  0.03
Br (0.678, 0.674, 0.669)  0.03
Br (0.996, 0.322, 0.669)  0.03
Br (0.004, 0.678, 0.331)  0.03

Output
Its total energy is -3.688 eV/atom. Its uncorrected formation energy is -86.5 kJ per mole of atoms.

DFT (PBE-GGA) results for CsMnCd2Br8 after structural relaxation.

Unit cell a=6.844 b=6.729 c=10.421 alpha=85.99 beta=82.10 gamma=68.65
Site moments in Bohr magnetons follow the coordinates.
Sites, in units of the cell vectors:
Cs (0.000, 0.000, 0.500)  0.00
Mn (0.000, 0.000, 0.000)  3.73
Cd (0.375, 0.365, 0.804)  0.01
Cd (0.625, 0.635, 0.196)  0.01
Br (0.220, 0.715, 0.183)  0.05
Br (0.789, 0.774, 0.976)  -0.02
Br (0.738, 0.190, 0.179)  -0.03
Br (0.780, 0.285, 0.817)  0.05
Br (0.211, 0.226, 0.024)  -0.02
Br (0.262, 0.810, 0.821)  -0.03
Br (0.698, 0.667, 0.425)  0.00
Br (0.302, 0.333, 0.575)  0.00

Output
Its total energy is -3.016 eV/atom. Its uncorrected formation energy is -88.1 kJ per mole of atoms.

> Which value of uncorrected formation energy does entry 2 give?

-86.5 kJ per mole of atoms

> Which of these has the lowest uncorrected formation energy?

Cs2MgCdBr6

Please write out number 2 again, unchanged.
DFT (PBE-GGA) results for CsMn2CdBr8 after structural relaxation.

Unit cell a=6.975 b=6.975 c=9.988 alpha=90.00 beta=90.00 gamma=120.00
Site moments in Bohr magnetons follow the coordinates.
Sites, in units of the cell vectors:
Cs (0.000, 0.000, 0.000)  0.00
Mn (0.667, 0.333, 0.268)  4.00
Mn (0.333, 0.667, 0.732)  4.00
Cd (0.000, 0.000, 0.500)  0.03
Br (0.333, 0.667, 0.972)  0.02
Br (0.322, 0.326, 0.331)  0.03
Br (0.674, 0.996, 0.331)  0.03
Br (0.667, 0.333, 0.028)  0.02
Br (0.326, 0.004, 0.669)  0.03
Br (0.678, 0.674, 0.669)  0.03
Br (0.996, 0.322, 0.669)  0.03
Br (0.004, 0.678, 0.331)  0.03

Output
Its total energy is -3.688 eV/atom. Its uncorrected formation energy is -86.5 kJ per mole of atoms.

> Which of these has the highest uncorrected formation energy?

CsMn2CdBr8